Material: LiDy4Tl3
Method: DFT, PBE
State: optimized geometry

Values from the calculation:
The polymorph energy (0 for the lowest one) is 65 meV per atom. The formation enthalpy at 0 K comes out at -0.2119 eV/atom.

a b c (Å): 3.7636 4.8473 12.0513
angles (deg): 90.00 90.00 90.00
With the nearest neighbours (Å) after each atom.
Space group Pmm2 (No. 25)
Inequivalent atoms, fractional coordinates:
Li: 0.0000 0.0000 0.0000 [1 per cell]  2 Tl 2.93, 7 Dy 3.25-3.27
Dy: 0.0000 0.0000 0.2711 [1 per cell]  6 Tl 3.21-3.53, 1 Li 3.27
Dy: 0.0000 0.5000 0.5930 [1 per cell]  7 Tl 3.20-3.48
Dy: 0.5000 0.0000 0.7803 [1 per cell]  5 Tl 3.15-3.23, 2 Li 3.25
Dy: 0.5000 0.5000 0.0891 [1 per cell]  3 Tl 3.14-3.31, 4 Li 3.25
Tl: 0.0000 0.5000 0.8633 [1 per cell]  2 Li 2.93, 5 Dy 3.23-3.26
Tl: 0.5000 0.0000 0.5189 [1 per cell]  5 Dy 3.15-3.20, 2 Tl 3.17
Tl: 0.5000 0.5000 0.3498 [1 per cell]  7 Dy 3.14-3.48, 2 Tl 3.17